(1)
# InSiSbPd2, relaxed, DFT PBE-GGA
data_InSiSbPd2
_cell_length_a 4.960
_cell_length_b 4.960
_cell_length_c 5.507
_cell_angle_alpha 90.00
_cell_angle_beta 90.00
_cell_angle_gamma 90.00
_space_group_name_H-M_alt 'P 4/m m m'
_space_group_IT_number 123
_space_group_name_Hall '-P 4 2'
loop_
_atom_site_label
_atom_site_type_symbol
_atom_site_fract_x
_atom_site_fract_y
_atom_site_fract_z
_atom_site_occupancy
In1 In 0.000 0.000 0.000 1
Si1 Si 0.500 0.500 0.500 1
Sb1 Sb 0.000 0.000 0.500 1
Pd1 Pd 0.000 0.500 0.000 1
# Energy: -3.62 eV per atom

---

(2)
# Sr2InSbPd6, relaxed, DFT PBE-GGA
data_Sr2InSbPd6
_cell_length_a 12.571
_cell_length_b 5.690
_cell_length_c 9.014
_cell_angle_alpha 90.00
_cell_angle_beta 134.20
_cell_angle_gamma 90.00
_space_group_name_H-M_alt 'C 1 2/m 1'
_space_group_IT_number 12
_space_group_name_Hall '-C 2y'
loop_
_atom_site_label
_atom_site_type_symbol
_atom_site_fract_x
_atom_site_fract_y
_atom_site_fract_z
_atom_site_occupancy
Sr1 Sr 0.028 0.000 0.280 1
In1 In 0.000 0.500 0.500 1
Sb1 Sb 0.000 0.500 0.000 1
Pd1 Pd 0.161 0.500 0.910 1
Pd2 Pd 0.244 0.246 0.243 1
# Energy: -4.70 eV per atom

---

(3)
# Sr3InSb2Pd9, relaxed, DFT PBE-GGA
data_Sr3InSb2Pd9
_cell_length_a 6.7079
_cell_length_b 6.7079
_cell_length_c 9.9362
_cell_angle_alpha 90.00
_cell_angle_beta 90.00
_cell_angle_gamma 120.00
_space_group_name_H-M_alt 'P -3 m 1'
_space_group_IT_number 164
_space_group_name_Hall '-P 3 2"'
loop_
_atom_site_label
_atom_site_type_symbol
_atom_site_fract_x
_atom_site_fract_y
_atom_site_fract_z
_atom_site_occupancy
Sr1 Sr 0.0000 0.0000 0.0000 1
Sr2 Sr 0.3333 0.6667 0.7247 1
In1 In 0.0000 0.0000 0.5000 1
Sb1 Sb 0.3333 0.6667 0.1782 1
Pd1 Pd 0.0000 0.5000 0.0000 1
Pd2 Pd 0.1340 0.2680 0.2785 1
# Energy: -4.65 eV per atom

---

Number 1: spin magnetization 0.00 μB per formula unit, formation energy from raw total energies 0.911 eV/atom. Number 2: spin magnetization 0.00 μB per formula unit, formation energy from raw total energies -0.561 eV/atom. Number 3: spin magnetization 0.00 μB per formula unit, formation energy from raw total energies -0.470 eV/atom.